[1]
Here is crystalline Cd4AsP at its relaxed geometry from Alexandria. Energies are from PBE-GGA.

Output
For the total magnetization, the calculation gives 0.00 μB/f.u. For the energy above the lowest structure with this stoichiometry, the calculation gives 0.3859 eV/atom. The value obtained for the energy of formation is 463 meV per atom.

Cell and atoms, written as CIF:
```
data_Cd4AsP
_chemical_formula_sum 'Cd16 As4 P4'
_cell_length_a 8.091
_cell_length_b 8.091
_cell_length_c 8.091
_cell_angle_alpha 90.00
_cell_angle_beta 90.00
_cell_angle_gamma 90.00
_symmetry_space_group_name_H-M 'F -4 3 m'
_symmetry_Int_Tables_number 216
_symmetry_space_group_name_Hall 'F -4 2 3'
loop_
_atom_site_label
_atom_site_fract_x
_atom_site_fract_y
_atom_site_fract_z
Cd1 0.125 0.125 0.125
As1 0.000 0.000 0.500
P1 0.250 0.250 0.750
```

[2]
Here is crystalline Cd3AsP at its relaxed geometry from Alexandria. Energies are from PBE-GGA.

Output
For the total magnetization, the calculation gives 0.00 μB/f.u. For the energy above the lowest structure with this stoichiometry, the calculation gives 0.3936 eV/atom. The value obtained for the energy of formation is 408 meV per atom.

Cell and atoms, written as CIF:
```
data_Cd3AsP
_chemical_formula_sum 'Cd3 As1 P1'
_cell_length_a 5.022
_cell_length_b 5.022
_cell_length_c 5.022
_cell_angle_alpha 90.00
_cell_angle_beta 90.00
_cell_angle_gamma 90.00
_symmetry_space_group_name_H-M 'P m -3 m'
_symmetry_Int_Tables_number 221
_symmetry_space_group_name_Hall '-P 4 2 3'
loop_
_atom_site_label
_atom_site_fract_x
_atom_site_fract_y
_atom_site_fract_z
Cd1 0.000 0.000 0.500
As1 0.500 0.500 0.500
P1 0.000 0.000 0.000
```

Calculated volume
In order: 22.07, 25.33
Unit: Å³/atom